## Er3As2Pt2Rh5 (GGA-PBE)

Data for a relaxed structure of Er3As2Pt2Rh5.

Its total energy is -6.846 eV/atom. The density of states at the Fermi level is 14.48 states/eV per cell. The size of the total moment is 0.00 μB/f.u.

The structure belongs to space group I4/mmm (No. 139); the cell edges are 4.010, 4.010 and 26.504 Å and the angles 90.00°, 90.00° and 90.00°. The asymmetric unit holds Er at (0.000, 0.000, 0.000), Er at (0.000, 0.000, 0.170), As at (0.000, 0.000, 0.370), Pt at (0.000, 0.000, 0.277), Rh at (0.000, 0.000, 0.500) and Rh at (0.000, 0.500, 0.079).

## Er4AsPtS2 (GGA-PBE)

Data for a relaxed structure of Er4AsPtS2.

The density of states at the Fermi level is 4.54 states/eV per cell. As for the uncorrected formation energy: -1.62 eV/atom. The size of the total moment is 0.00 μB/f.u.

The structure belongs to space group P2/m (No. 10); the cell edges are 6.865, 3.938 and 7.018 Å and the angles 90.00°, 108.92° and 90.00°. The asymmetric unit holds Er at (0.244, 0.000, 0.249), Er at (0.246, 0.500, 0.747), As at (0.500, 0.000, 0.000), Pt at (0.000, 0.500, 0.000), S at (0.000, 0.000, 0.500) and S at (0.500, 0.500, 0.500).

## Er8AsPt3Se4 (GGA-PBE)

Data for a relaxed structure of Er8AsPt3Se4.

The density of states at the Fermi level is 27.06 states/eV per cell. As for the uncorrected formation energy: -1.50 eV/atom. The size of the total moment is 0.00 μB/f.u.

The structure belongs to space group R-3m (No. 166, hexagonal axes); the cell edges are 7.9835, 7.9835 and 20.9717 Å and the angles 90.00°, 90.00° and 120.00°. The asymmetric unit holds Er at (0.0000, 0.0000, 0.2432), Er at (0.0074, 0.5037, 0.7547), As at (0.0000, 0.0000, 0.5000), Pt at (0.0000, 0.5000, 0.5000), Se at (0.0000, 0.0000, 0.0000) and Se at (0.0000, 0.5000, 0.0000).